(P)
# Pm4Sb2Pd GGA-PBE optimized geometry
# Volume in Å³ per atom: 32.934
# Crystal system: tetragonal
# Magnetization in μB/atom: 0.000
data_Pm4Sb2Pd
_chemical_formula_sum 'Pm8 Sb4 Pd2'
_cell_length_a 5.254
_cell_length_b 5.254
_cell_length_c 16.702
_cell_angle_alpha 90.00
_cell_angle_beta 90.00
_cell_angle_gamma 90.00
_space_group_name_H-M_alt 'I 4/m m m'
_space_group_IT_number 139
_space_group_name_Hall '-I 4 2'
loop_
_atom_site_label
_atom_site_fract_x
_atom_site_fract_y
_atom_site_fract_z
Pm1 0.000 0.000 0.178
Pm2 0.000 0.500 0.000
Sb1 0.000 0.000 0.366
Pd1 0.000 0.000 0.000

(Q)
# Pm4Sb2Pd GGA-PBE optimized geometry
# Volume in Å³ per atom: 33.141
# Crystal system: monoclinic
# Magnetization in μB/atom: 0.000
data_Pm4Sb2Pd
_chemical_formula_sum 'Pm8 Sb4 Pd2'
_cell_length_a 15.986
_cell_length_b 4.353
_cell_length_c 7.444
_cell_angle_alpha 90.00
_cell_angle_beta 116.41
_cell_angle_gamma 90.00
_space_group_name_H-M_alt 'C 1 2/m 1'
_space_group_IT_number 12
loop_
_space_group_symop_operation_xyz
'x,y,z'
'-x,-y,-z'
'-x,y,-z'
'x,-y,z'
'x+1/2,y+1/2,z'
'-x+1/2,-y+1/2,-z'
'-x+1/2,y+1/2,-z'
'x+1/2,-y+1/2,z'
loop_
_atom_site_label
_atom_site_fract_x
_atom_site_fract_y
_atom_site_fract_z
Pm1 0.117 0.000 0.440
Pm2 0.119 0.500 0.976
Sb1 0.238 0.500 0.736
Pd1 0.000 0.000 0.000

List of relative energies, unit meV per atom: (P) 113; (Q) 0

(P)
# PmSbPd2 GGA-PBE optimized geometry
# Volume in Å³ per atom: 21.594
# Crystal system: orthorhombic
# Magnetization in μB/atom: 0.000
data_PmSbPd2
_chemical_formula_sum 'Pm4 Sb4 Pd8'
_cell_length_a 8.391
_cell_length_b 7.124
_cell_length_c 5.780
_cell_angle_alpha 90.00
_cell_angle_beta 90.00
_cell_angle_gamma 90.00
_space_group_name_H-M_alt 'P n m a'
_space_group_IT_number 62
loop_
_space_group_symop_operation_xyz
'x,y,z'
'-x,-y,-z'
'-x+1/2,-y,z+1/2'
'x+1/2,y,-z+1/2'
'x+1/2,-y+1/2,-z+1/2'
'-x+1/2,y+1/2,z+1/2'
'-x,y+1/2,-z'
'x,-y+1/2,z'
loop_
_atom_site_label
_atom_site_fract_x
_atom_site_fract_y
_atom_site_fract_z
Pm1 0.063 0.250 0.165
Sb1 0.107 0.750 0.323
Pd1 0.175 0.042 0.602

(Q)
# PmSbPd2 GGA-PBE optimized geometry
# Volume in Å³ per atom: 20.605
# Crystal system: cubic
# Magnetization in μB/atom: 0.000
data_PmSbPd2
_chemical_formula_sum 'Pm4 Sb4 Pd8'
_cell_length_a 6.908
_cell_length_b 6.908
_cell_length_c 6.908
_cell_angle_alpha 90.00
_cell_angle_beta 90.00
_cell_angle_gamma 90.00
_space_group_name_H-M_alt 'F m -3 m'
_space_group_IT_number 225
_space_group_name_Hall '-F 4 2 3'
loop_
_atom_site_label
_atom_site_fract_x
_atom_site_fract_y
_atom_site_fract_z
Pm1 0.000 0.000 0.000
Sb1 0.000 0.000 0.500
Pd1 0.250 0.250 0.250

(R)
# PmSbPd2 GGA-PBE optimized geometry
# Volume in Å³ per atom: 21.565
# Crystal system: tetragonal
# Magnetization in μB/atom: 0.000
data_PmSbPd2
_chemical_formula_sum 'Pm1 Sb1 Pd2'
_cell_length_a 3.708
_cell_length_b 3.708
_cell_length_c 6.274
_cell_angle_alpha 90.00
_cell_angle_beta 90.00
_cell_angle_gamma 90.00
_space_group_name_H-M_alt 'P 4/m m m'
_space_group_IT_number 123
_space_group_name_Hall '-P 4 2'
loop_
_atom_site_label
_atom_site_fract_x
_atom_site_fract_y
_atom_site_fract_z
Pm1 0.000 0.000 0.000
Sb1 0.000 0.000 0.500
Pd1 0.500 0.500 0.256

List of relative energies, unit meV per atom: (P) 0; (Q) 48; (R) 271

(P)
# PmSb2Pd7 GGA-PBE optimized geometry
# Volume in Å³ per atom: 22.513
# Crystal system: orthorhombic
# Magnetization in μB/atom: 0.000
data_PmSb2Pd7
_chemical_formula_sum 'Pm2 Sb4 Pd14'
_cell_length_a 7.490
_cell_length_b 12.987
_cell_length_c 4.629
_cell_angle_alpha 90.00
_cell_angle_beta 90.00
_cell_angle_gamma 90.00
_space_group_name_H-M_alt 'C m m m'
_space_group_IT_number 65
_space_group_name_Hall '-C 2 2'
loop_
_atom_site_label
_atom_site_fract_x
_atom_site_fract_y
_atom_site_fract_z
Pm1 0.000 0.000 0.000
Sb1 0.000 0.302 0.500
Pd1 0.000 0.215 0.000
Pd2 0.000 0.500 0.500
Pd3 0.181 0.113 0.500

(Q)
# PmSb2Pd7 GGA-PBE optimized geometry
# Volume in Å³ per atom: 19.249
# Crystal system: tetragonal
# Magnetization in μB/atom: 0.000
data_PmSb2Pd7
_chemical_formula_sum 'Pm2 Sb4 Pd14'
_cell_length_a 4.194
_cell_length_b 4.194
_cell_length_c 21.891
_cell_angle_alpha 90.00
_cell_angle_beta 90.00
_cell_angle_gamma 90.00
_space_group_name_H-M_alt 'I 4/m m m'
_space_group_IT_number 139
_space_group_name_Hall '-I 4 2'
loop_
_atom_site_label
_atom_site_fract_x
_atom_site_fract_y
_atom_site_fract_z
Pm1 0.000 0.000 0.000
Sb1 0.000 0.000 0.328
Pd1 0.000 0.000 0.500
Pd2 0.000 0.500 0.097
Pd3 0.000 0.500 0.250

List of relative energies, unit meV per atom: (P) 250; (Q) 0

(P)
# Pm2SbPd GGA-PBE optimized geometry
# Volume in Å³ per atom: 26.026
# Crystal system: cubic
# Magnetization in μB/atom: 0.220
data_Pm2SbPd
_chemical_formula_sum 'Pm8 Sb4 Pd4'
_cell_length_a 7.468
_cell_length_b 7.468
_cell_length_c 7.468
_cell_angle_alpha 90.00
_cell_angle_beta 90.00
_cell_angle_gamma 90.00
_space_group_name_H-M_alt 'F m -3 m'
_space_group_IT_number 225
_space_group_name_Hall '-F 4 2 3'
loop_
_atom_site_label
_atom_site_fract_x
_atom_site_fract_y
_atom_site_fract_z
Pm1 0.250 0.250 0.250
Sb1 0.000 0.000 0.000
Pd1 0.000 0.000 0.500

(Q)
# Pm2SbPd GGA-PBE optimized geometry
# Volume in Å³ per atom: 26.131
# Crystal system: tetragonal
# Magnetization in μB/atom: 0.095
data_Pm2SbPd
_chemical_formula_sum 'Pm2 Sb1 Pd1'
_cell_length_a 5.153
_cell_length_b 5.153
_cell_length_c 3.936
_cell_angle_alpha 90.00
_cell_angle_beta 90.00
_cell_angle_gamma 90.00
_space_group_name_H-M_alt 'P 4/m m m'
_space_group_IT_number 123
_space_group_name_Hall '-P 4 2'
loop_
_atom_site_label
_atom_site_fract_x
_atom_site_fract_y
_atom_site_fract_z
Pm1 0.000 0.500 0.000
Sb1 0.000 0.000 0.500
Pd1 0.500 0.500 0.500

List of relative energies, unit meV per atom: (P) 13; (Q) 0

(P)
# PmSbPd GGA-PBE optimized geometry
# Volume in Å³ per atom: 25.236
# Crystal system: cubic
# Magnetization in μB/atom: 0.000
data_PmSbPd
_chemical_formula_sum 'Pm4 Sb4 Pd4'
_cell_length_a 6.715
_cell_length_b 6.715
_cell_length_c 6.715
_cell_angle_alpha 90.00
_cell_angle_beta 90.00
_cell_angle_gamma 90.00
_space_group_name_H-M_alt 'F -4 3 m'
_space_group_IT_number 216
_space_group_name_Hall 'F -4 2 3'
loop_
_atom_site_label
_atom_site_fract_x
_atom_site_fract_y
_atom_site_fract_z
Pm1 0.000 0.000 0.000
Sb1 0.000 0.000 0.500
Pd1 0.250 0.250 0.750

(Q)
# PmSbPd GGA-PBE optimized geometry
# Volume in Å³ per atom: 25.170
# Crystal system: tetragonal
# Magnetization in μB/atom: 0.000
data_PmSbPd
_chemical_formula_sum 'Pm2 Sb2 Pd2'
_cell_length_a 4.136
_cell_length_b 4.136
_cell_length_c 8.827
_cell_angle_alpha 90.00
_cell_angle_beta 90.00
_cell_angle_gamma 90.00
_space_group_name_H-M_alt 'I 4 m m'
_space_group_IT_number 107
_space_group_name_Hall 'I 4 -2'
loop_
_atom_site_label
_atom_site_fract_x
_atom_site_fract_y
_atom_site_fract_z
Pm1 0.000 0.000 0.000
Sb1 0.000 0.000 0.342
Pd1 0.000 0.000 0.652

(R)
# PmSbPd GGA-PBE optimized geometry
# Volume in Å³ per atom: 24.517
# Crystal system: trigonal
# Magnetization in μB/atom: 0.000
data_PmSbPd
_chemical_formula_sum 'Pm1 Sb1 Pd1'
_cell_length_a 4.5551
_cell_length_b 4.5551
_cell_length_c 4.0931
_cell_angle_alpha 90.00
_cell_angle_beta 90.00
_cell_angle_gamma 120.00
_space_group_name_H-M_alt 'P 3 m 1'
_space_group_IT_number 156
loop_
_space_group_symop_operation_xyz
'x,y,z'
'-y,x-y,z'
'-x+y,-x,z'
'-y,-x,z'
'-x+y,y,z'
'x,x-y,z'
loop_
_atom_site_label
_atom_site_fract_x
_atom_site_fract_y
_atom_site_fract_z
Pm1 0.0000 0.0000 0.0000
Sb1 0.3333 0.6667 0.5063
Pd1 0.6667 0.3333 0.4821

List of relative energies, unit meV per atom: (P) 0; (Q) 456; (R) 82